[1]
A plane-wave DFT calculation with PBE was carried out for a relaxed SiHgPRu2 crystal.

Geometry as POSCAR:
```
SiHgPRu2
1.0
5.088 0.000 0.000
0.000 5.088 0.000
0.000 0.000 4.530
Si Hg P Ru
1 1 1 2
direct
0.000 0.000 0.000
0.000 0.000 0.500
0.500 0.500 0.000
0.000 0.500 0.500
0.500 0.000 0.500
```

Calculated values
Total energy (eV per cell): -18.74
Total magnetization (μB per formula unit): 3.91
Raw formation energy (eV per formula unit): 10.95

[2]
A plane-wave DFT calculation with PBE was carried out for a relaxed CoC4 crystal.

Geometry as POSCAR:
```
CoC4
1.0
2.606 0.000 0.000
-1.303 2.257 0.000
0.000 0.000 5.921
Co C
1 4
direct
0.000 0.000 0.000
0.333 0.667 0.205
0.333 0.667 0.454
0.667 0.333 0.546
0.667 0.333 0.795
```

Calculated values
Formation energy (meV per atom): 685
Total energy (eV per cell): -40.57
Total magnetization (μB per formula unit): 0.00

[3]
A plane-wave DFT calculation with PBE was carried out for a relaxed TbPmInGa crystal.

Geometry as POSCAR:
```
TbPmInGa
1.0
7.454 0.000 0.000
0.000 7.454 0.000
0.000 0.000 7.454
Tb Pm In Ga
4 4 4 4
direct
0.000 0.000 0.000
0.000 0.500 0.500
0.500 0.000 0.500
0.500 0.500 0.000
0.000 0.000 0.500
0.000 0.500 0.000
0.500 0.000 0.000
0.500 0.500 0.500
0.250 0.250 0.250
0.250 0.750 0.750
0.750 0.250 0.750
0.750 0.750 0.250
0.250 0.250 0.750
0.250 0.750 0.250
0.750 0.250 0.250
0.750 0.750 0.750
```

Calculated values
Formation energy (meV per atom): -507
Total energy (eV per cell): -68.69
Total magnetization (μB per formula unit): 0.00

Copy entry 1 word for word.
A plane-wave DFT calculation with PBE was carried out for a relaxed SiHgPRu2 crystal.

Geometry as POSCAR:
```
SiHgPRu2
1.0
5.088 0.000 0.000
0.000 5.088 0.000
0.000 0.000 4.530
Si Hg P Ru
1 1 1 2
direct
0.000 0.000 0.000
0.000 0.000 0.500
0.500 0.500 0.000
0.000 0.500 0.500
0.500 0.000 0.500
```

Calculated values
Total energy (eV per cell): -18.74
Total magnetization (μB per formula unit): 3.91
Raw formation energy (eV per formula unit): 10.95